Here is TlNiRu2 after structural relaxation from the Alexandria database. Energies are from PBE.

Calculated values
**DOS at the Fermi energy**: 6.25 states/eV/f.u.
**Formation enthalpy at 0 K**: 225 kJ/mol of formula units
**Mass density**: 12.56 g/cm3
**E_tot**: -6.09 eV per atom

```
data_TlNiRu2
_symmetry_space_group_name_H-M 'F -4 3 m'
_symmetry_Int_Tables_number 216
_symmetry_space_group_name_Hall 'F -4 2 3'
_cell_length_a 6.2662
_cell_length_b 6.2662
_cell_length_c 6.2662
_cell_angle_alpha 90.00
_cell_angle_beta 90.00
_cell_angle_gamma 90.00
loop_
_atom_site_label
_atom_site_type_symbol
_atom_site_fract_x
_atom_site_fract_y
_atom_site_fract_z
Tl1 Tl 0.0000 0.0000 0.0000
Ni1 Ni 0.2500 0.2500 0.2500
Ru1 Ru 0.0000 0.0000 0.5000
Ru2 Ru 0.2500 0.2500 0.7500
```

Here is TlNiRu2 after structural relaxation from the Alexandria database. Energies are from PBE.

Calculated values
**DOS at the Fermi energy**: 4.98 states/eV/f.u.
**Formation enthalpy at 0 K**: 143 kJ/mol of formula units
**Mass density**: 12.57 g/cm3
**E_tot**: -6.30 eV per atom

```
data_TlNiRu2
_symmetry_space_group_name_H-M 'P 4 m m'
_symmetry_Int_Tables_number 99
_symmetry_space_group_name_Hall 'P 4 -2'
_cell_length_a 2.8792
_cell_length_b 2.8792
_cell_length_c 7.4162
_cell_angle_alpha 90.00
_cell_angle_beta 90.00
_cell_angle_gamma 90.00
loop_
_atom_site_label
_atom_site_type_symbol
_atom_site_fract_x
_atom_site_fract_y
_atom_site_fract_z
Tl1 Tl 0.0000 0.0000 0.0000
Ni1 Ni 0.5000 0.5000 0.2614
Ru1 Ru 0.0000 0.0000 0.4855
Ru2 Ru 0.5000 0.5000 0.7064
```

Here is TlNi2Ru after structural relaxation from the Alexandria database. Energies are from PBE.

Calculated values
**DOS at the Fermi energy**: 3.08 states/eV/f.u.
**Formation enthalpy at 0 K**: 173 kJ/mol of formula units
**Mass density**: 11.89 g/cm3
**E_tot**: -5.35 eV per atom

```
data_TlNi2Ru
_symmetry_space_group_name_H-M 'F -4 3 m'
_symmetry_Int_Tables_number 216
_symmetry_space_group_name_Hall 'F -4 2 3'
_cell_length_a 6.1815
_cell_length_b 6.1815
_cell_length_c 6.1815
_cell_angle_alpha 90.00
_cell_angle_beta 90.00
_cell_angle_gamma 90.00
loop_
_atom_site_label
_atom_site_type_symbol
_atom_site_fract_x
_atom_site_fract_y
_atom_site_fract_z
Tl1 Tl 0.0000 0.0000 0.0000
Ni1 Ni 0.0000 0.0000 0.5000
Ni2 Ni 0.2500 0.2500 0.2500
Ru1 Ru 0.2500 0.2500 0.7500
```

Here is Tl3NiRu after structural relaxation from the Alexandria database. Energies are from PBE.

Calculated values
**DOS at the Fermi energy**: 8.20 states/eV/f.u.
**Formation enthalpy at 0 K**: 423 kJ/mol of formula units
**Mass density**: 8.94 g/cm3
**E_tot**: -3.55 eV per atom

```
data_Tl3NiRu
_symmetry_space_group_name_H-M 'P m -3 m'
_symmetry_Int_Tables_number 221
_symmetry_space_group_name_Hall '-P 4 2 3'
_cell_length_a 5.2355
_cell_length_b 5.2355
_cell_length_c 5.2355
_cell_angle_alpha 90.00
_cell_angle_beta 90.00
_cell_angle_gamma 90.00
loop_
_atom_site_label
_atom_site_type_symbol
_atom_site_fract_x
_atom_site_fract_y
_atom_site_fract_z
Tl1 Tl 0.0000 0.0000 0.5000
Ni1 Ni 0.5000 0.5000 0.5000
Ru1 Ru 0.0000 0.0000 0.0000
```

Here is TlNiRu4 after structural relaxation from the Alexandria database. Energies are from PBE.

Calculated values
**DOS at the Fermi energy**: 11.70 states/eV/f.u.
**Formation enthalpy at 0 K**: 436 kJ/mol of formula units
**Mass density**: 11.43 g/cm3
**E_tot**: -6.79 eV per atom

```
data_TlNiRu4
_symmetry_space_group_name_H-M 'F -4 3 m'
_symmetry_Int_Tables_number 216
_symmetry_space_group_name_Hall 'F -4 2 3'
_cell_length_a 7.2918
_cell_length_b 7.2918
_cell_length_c 7.2918
_cell_angle_alpha 90.00
_cell_angle_beta 90.00
_cell_angle_gamma 90.00
loop_
_atom_site_label
_atom_site_type_symbol
_atom_site_fract_x
_atom_site_fract_y
_atom_site_fract_z
Tl1 Tl 0.0000 0.0000 0.0000
Ni1 Ni 0.2500 0.2500 0.7500
Ru1 Ru 0.1244 0.1244 0.3756
```

Here is TlNiRu after structural relaxation from the Alexandria database. Energies are from PBE.

Calculated values
**DOS at the Fermi energy**: 5.54 states/eV/f.u.
**Formation enthalpy at 0 K**: 231 kJ/mol of formula units
**Mass density**: 10.49 g/cm3
**E_tot**: -5.01 eV per atom

```
data_TlNiRu
_symmetry_space_group_name_H-M 'F -4 3 m'
_symmetry_Int_Tables_number 216
_symmetry_space_group_name_Hall 'F -4 2 3'
_cell_length_a 6.1325
_cell_length_b 6.1325
_cell_length_c 6.1325
_cell_angle_alpha 90.00
_cell_angle_beta 90.00
_cell_angle_gamma 90.00
loop_
_atom_site_label
_atom_site_type_symbol
_atom_site_fract_x
_atom_site_fract_y
_atom_site_fract_z
Tl1 Tl 0.0000 0.0000 0.0000
Ni1 Ni 0.0000 0.0000 0.5000
Ru1 Ru 0.2500 0.2500 0.7500
```

What did the fifth record say?
Here is TlNiRu4 after structural relaxation from the Alexandria database. Energies are from PBE.

Calculated values
**DOS at the Fermi energy**: 11.70 states/eV/f.u.
**Formation enthalpy at 0 K**: 436 kJ/mol of formula units
**Mass density**: 11.43 g/cm3
**E_tot**: -6.79 eV per atom

```
data_TlNiRu4
_symmetry_space_group_name_H-M 'F -4 3 m'
_symmetry_Int_Tables_number 216
_symmetry_space_group_name_Hall 'F -4 2 3'
_cell_length_a 7.2918
_cell_length_b 7.2918
_cell_length_c 7.2918
_cell_angle_alpha 90.00
_cell_angle_beta 90.00
_cell_angle_gamma 90.00
loop_
_atom_site_label
_atom_site_type_symbol
_atom_site_fract_x
_atom_site_fract_y
_atom_site_fract_z
Tl1 Tl 0.0000 0.0000 0.0000
Ni1 Ni 0.2500 0.2500 0.7500
Ru1 Ru 0.1244 0.1244 0.3756
```